The following is a GGA-PBE calculation of crystalline Na4DySc3S8 at its relaxed geometry, from the Alexandria database.

a = 7.6527 Å, b = 7.6527 Å, c = 19.9294 Å
α = 90.00°, β = 90.00°, γ = 120.00°
Space group R-3m (No. 166, hexagonal axes)
Unique sites:
Na: 0.0000 0.0000 0.0000 [3 per cell]
Na: 0.0000 0.5000 0.0000 [9 per cell]
Dy: 0.0000 0.0000 0.5000 [3 per cell]
Sc: 0.0000 0.5000 0.5000 [9 per cell]
S: 0.0000 0.0000 0.2382 [6 per cell]
S: 0.0111 0.5055 0.7600 [18 per cell]

Properties
For the final energy, the calculation gives -5.63 eV/atom. Its density of states at the Fermi level is 0.0 states/eV/f.u. Its crystal system is trigonal.

The following is a GGA-PBE calculation of crystalline Li3Tm2Cd4 at its relaxed geometry, from the Alexandria database.

a = 5.8913 Å, b = 15.9070 Å, c = 8.2994 Å
α = 90.00°, β = 90.00°, γ = 90.00°
Space group Cmce (No. 64)
Unique sites:
Li: 0.0000 0.0000 0.0000 [4 per cell]
Li: 0.2500 0.2256 0.2500 [8 per cell]
Tm: 0.0000 0.1087 0.5929 [8 per cell]
Cd: 0.0000 0.1805 0.9717 [8 per cell]
Cd: 0.2500 0.0560 0.2500 [8 per cell]

Properties
For the final energy, the calculation gives -2.23 eV/atom. Its density of states at the Fermi level is 4.6 states/eV/f.u. Its crystal system is orthorhombic. As for the offset from the most stable computed form: 14 meV per atom.

The following is a GGA-PBE calculation of crystalline BeAu3F at its relaxed geometry, from the Alexandria database.

a = 4.3951 Å, b = 4.3951 Å, c = 4.3951 Å
α = 90.00°, β = 90.00°, γ = 90.00°
Space group Pm-3m (No. 221)
Unique sites:
Be: 0.0000 0.0000 0.0000 [1 per cell]
Au: 0.0000 0.0000 0.5000 [3 per cell]
F: 0.5000 0.5000 0.5000 [1 per cell]

Properties
For the final energy, the calculation gives -3.02 eV/atom. Its density of states at the Fermi level is 1.8 states/eV/f.u. Its crystal system is cubic. As for the offset from the most stable computed form: 0 meV per atom.

The following is a GGA-PBE calculation of crystalline Ac2ZnPd6Au at its relaxed geometry, from the Alexandria database.

a = 9.9787 Å, b = 5.7663 Å, c = 8.7747 Å
α = 90.00°, β = 112.29°, γ = 90.00°
Space group C2/m (No. 12)
Unique sites:
Ac: 0.2121 0.0000 0.1350 [4 per cell]
Zn: 0.0000 0.0000 0.5000 [2 per cell]
Pd: 0.0041 0.2479 0.2623 [8 per cell]
Pd: 0.2437 0.0000 0.7392 [4 per cell]
Au: 0.0000 0.5000 0.0000 [2 per cell]

Properties
For the final energy, the calculation gives -4.90 eV/atom. Its density of states at the Fermi level is 5.3 states/eV/f.u. Its crystal system is monoclinic.

The following is a GGA-PBE calculation of crystalline GeRhS at its relaxed geometry, from the Alexandria database.

a = 3.5745 Å, b = 3.5745 Å, c = 4.6038 Å
α = 90.00°, β = 90.00°, γ = 90.00°
Space group P4/mmm (No. 123)
Unique sites:
Ge: 0.0000 0.0000 0.0000 [1 per cell]
Rh: 0.5000 0.5000 0.0000 [1 per cell]
S: 0.5000 0.5000 0.5000 [1 per cell]

Properties
For the final energy, the calculation gives -5.32 eV/atom. Its density of states at the Fermi level is 2.3 states/eV/f.u. Its crystal system is tetragonal.

The following is a GGA-PBE calculation of crystalline TmInAs2Rh5 at its relaxed geometry, from the Alexandria database.

a = 4.1943 Å, b = 4.1943 Å, c = 8.5838 Å
α = 90.00°, β = 90.00°, γ = 90.00°
Space group P4/mmm (No. 123)
Unique sites:
Tm: 0.0000 0.0000 0.0000 [1 per cell]
In: 0.0000 0.0000 0.5000 [1 per cell]
As: 0.5000 0.5000 0.1450 [2 per cell]
Rh: 0.0000 0.5000 0.2762 [4 per cell]
Rh: 0.5000 0.5000 0.5000 [1 per cell]

Properties
For the final energy, the calculation gives -6.52 eV/atom. Its density of states at the Fermi level is 5.8 states/eV/f.u. Its crystal system is tetragonal.